Entry 1:
Pr2ErMg3InGa2: relaxed, PBE.

Cell: 4.6293 7.4478 7.4478 Å, 119.24 90.00 90.00°
Sites, in units of the cell vectors:
Pr  0.0000  0.2181  0.7819
Pr  0.0000  0.7819  0.2181
Er  0.0000  0.3459  0.3459
Mg  0.5000  0.0294  0.0294
Mg  0.5000  0.5313  0.7786
Mg  0.5000  0.7786  0.5313
In  0.0000  0.7717  0.7717
Ga  0.5000  0.1201  0.4441
Ga  0.5000  0.4441  0.1201

***

Entry 2:
Tb2ErMg3InGa2: relaxed, PBE.

Cell: 4.5533 7.3120 7.3120 Å, 119.75 90.00 90.00°
Sites, in units of the cell vectors:
Tb  0.0000  0.2187  0.7813
Tb  0.0000  0.7813  0.2187
Er  0.0000  0.3440  0.3440
Mg  0.5000  0.0312  0.0312
Mg  0.5000  0.5309  0.7805
Mg  0.5000  0.7805  0.5309
In  0.0000  0.7789  0.7789
Ga  0.5000  0.1155  0.4468
Ga  0.5000  0.4468  0.1155

***

Entry 3:
Er2TmMg3InGa2: relaxed, PBE.

Cell: 4.5272 7.2591 7.2591 Å, 119.91 90.00 90.00°
Sites, in units of the cell vectors:
Er  0.0000  0.2191  0.7809
Er  0.0000  0.7809  0.2191
Tm  0.0000  0.6572  0.6572
Mg  0.5000  0.2194  0.4696
Mg  0.5000  0.4696  0.2194
Mg  0.5000  0.9688  0.9688
In  0.0000  0.2200  0.2200
Ga  0.5000  0.5529  0.8855
Ga  0.5000  0.8855  0.5529

***

no.,VASP energy (eV/atom)
1,-3.52
2,-3.49
3,-3.45